1 | Compound: Sb2PPb
Source: the Alexandria database
Functional: meta-GGA SCAN
Structure: single point on PBEsol structure

Cell: 4.1008 4.1008 7.6221 Å, 74.39 74.39 60.00°
Positions (direct):
P1 0.5012 0.5012 0.4965
Pb1 0.2350 0.2350 0.2950
Sb1 0.0091 0.0091 0.9727
Sb2 0.7547 0.7547 0.7358

Computed properties:
Mass density ... 7.58 Mg/m³
Density of states at the Fermi level ... 2.07 states/eV/cell
M_tot ... 0.00 μB per formula unit

2 | Compound: Sb2PPb
Source: the Alexandria database
Functional: meta-GGA SCAN
Structure: single point on PBEsol structure

Cell: 4.1728 4.1728 6.3417 Å, 90.00 90.00 90.00°
Positions (direct):
Pb1 0.5000 0.5000 0.6137
Sb1 0.0000 0.0000 0.1973
Sb2 0.5000 0.5000 0.0988
P1 0.0000 0.0000 0.5901

Computed properties:
Mass density ... 7.24 Mg/m³
Density of states at the Fermi level ... 1.00 states/eV/cell
M_tot ... 0.00 μB per formula unit

Most stable structure, least stable structure: 2, 1.

1 | Compound: Ta2PPb
Source: the Alexandria database
Functional: meta-GGA SCAN
Structure: single point on PBEsol structure

Cell: 4.7054 4.7054 4.7054 Å, 60.00 60.00 60.00°
Positions (direct):
P1 0.5000 0.5000 0.5000
Pb1 0.2500 0.2500 0.2500
Ta1 0.0000 0.0000 0.0000
Ta2 0.7500 0.7500 0.7500

Computed properties:
Mass density ... 13.53 Mg/m³
Density of states at the Fermi level ... 3.92 states/eV/cell
M_tot ... 0.00 μB per formula unit

2 | Compound: Ta2PPb
Source: the Alexandria database
Functional: meta-GGA SCAN
Structure: single point on PBEsol structure

Cell: 2.9621 2.9621 9.6013 Å, 90.00 90.00 106.05°
Positions (direct):
P1 0.0000 0.0000 0.5621
Pb1 0.5000 0.5000 0.2300
Ta1 0.0000 0.0000 0.9665
Ta2 0.5000 0.5000 0.7414

Computed properties:
Mass density ... 12.31 Mg/m³
Density of states at the Fermi level ... 1.59 states/eV/cell
M_tot ... 0.00 μB per formula unit

Most stable structure, least stable structure: 2, 1.

1 | Compound: Ta2PPb
Source: the Alexandria database
Functional: meta-GGA SCAN
Structure: single point on PBEsol structure

Cell: 4.0220 4.0220 5.2662 Å, 112.45 112.45 90.00°
Positions (direct):
P1 0.5000 0.5000 0.0000
Pb1 0.2500 0.7500 0.5000
Ta1 0.0000 0.0000 0.0000
Ta2 0.7500 0.2500 0.5000

Computed properties:
Mass density ... 13.90 Mg/m³
Density of states at the Fermi level ... 2.40 states/eV/cell
M_tot ... 0.00 μB per formula unit

2 | Compound: Ta2PPb
Source: the Alexandria database
Functional: meta-GGA SCAN
Structure: single point on PBEsol structure

Cell: 3.1187 4.7063 5.3898 Å, 90.00 106.83 90.00°
Positions (direct):
P1 0.6495 0.0000 0.4234
Pb1 0.3136 0.5000 0.7521
Ta1 0.9585 0.0000 0.0417
Ta2 0.5784 0.5000 0.2828

Computed properties:
Mass density ... 13.16 Mg/m³
Density of states at the Fermi level ... 2.20 states/eV/cell
M_tot ... 0.00 μB per formula unit

Most stable structure, least stable structure: 2, 1.

1 | Compound: TePPb2
Source: the Alexandria database
Functional: meta-GGA SCAN
Structure: single point on PBEsol structure

Cell: 3.5201 3.5201 8.3861 Å, 90.00 90.00 90.00°
Positions (direct):
P1 0.5000 0.5000 0.5000
Pb1 0.0000 0.0000 0.7029
Pb2 0.0000 0.0000 0.2971
Te1 0.5000 0.5000 0.0000

Computed properties:
Mass density ... 9.16 Mg/m³
Density of states at the Fermi level ... 2.15 states/eV/cell
M_tot ... 0.00 μB per formula unit

2 | Compound: TePPb2
Source: the Alexandria database
Functional: meta-GGA SCAN
Structure: single point on PBEsol structure

Cell: 4.2224 4.2237 6.4989 Å, 90.00 91.27 90.00°
Positions (direct):
Pb1 0.9905 0.0000 0.8905
Pb2 0.5109 0.5000 0.3051
P1 0.4822 0.5000 0.8883
Te1 0.0164 0.0000 0.4162

Computed properties:
Mass density ... 8.21 Mg/m³
Density of states at the Fermi level ... 1.92 states/eV/cell
M_tot ... 0.01 μB per formula unit

3 | Compound: TePPb2
Source: the Alexandria database
Functional: meta-GGA SCAN
Structure: single point on PBEsol structure

Cell: 5.2470 5.2470 5.2470 Å, 60.00 60.00 60.00°
Positions (direct):
P1 0.5000 0.5000 0.5000
Pb1 0.0000 0.0000 0.0000
Pb2 0.2500 0.2500 0.2500
Te1 0.7500 0.7500 0.7500

Computed properties:
Mass density ... 9.31 Mg/m³
Density of states at the Fermi level ... 2.26 states/eV/cell
M_tot ... 0.00 μB per formula unit

Most stable structure, least stable structure: 2, 3.